Density functional theory data (PBE) for a geometry-optimized Tm4MgRh3 structure.

Properties
E_tot (eV/atom): -5.931
Size of the total moment (μB/f.u.): 0.00

a = 10.782 Å, b = 10.782 Å, c = 5.763 Å
α = 90.00°, β = 90.00°, γ = 90.00°
Space group I4/mcm (No. 140)
Asymmetric unit:
Tm  0.079  0.217  0.000 (multiplicity 16)
Mg  0.000  0.500  0.250 (multiplicity 4)
Rh  0.000  0.000  0.250 (multiplicity 4)
Rh  0.164  0.336  0.500 (multiplicity 8)

---

Density functional theory data (PBE) for a geometry-optimized TmMgZnRh structure.

Properties
E_tot (eV/atom): -4.157
Size of the total moment (μB/f.u.): 0.00

a = 6.656 Å, b = 6.656 Å, c = 6.656 Å
α = 90.00°, β = 90.00°, γ = 90.00°
Space group F-43m (No. 216)
Asymmetric unit:
Tm  0.000  0.000  0.000 (multiplicity 4)
Mg  0.000  0.000  0.500 (multiplicity 4)
Zn  0.250  0.250  0.250 (multiplicity 4)
Rh  0.250  0.250  0.750 (multiplicity 4)

---

Density functional theory data (PBE) for a geometry-optimized Tm2MgZnRh4 structure.

Properties
E_tot (eV/atom): -5.900
Size of the total moment (μB/f.u.): 0.00

a = 4.5580 Å, b = 4.5580 Å, c = 22.3920 Å
α = 90.00°, β = 90.00°, γ = 120.00°
Space group R-3m (No. 166, hexagonal axes)
Asymmetric unit:
Tm  0.0000  0.0000  0.2484 (multiplicity 6)
Mg  0.0000  0.0000  0.0000 (multiplicity 3)
Zn  0.0000  0.0000  0.5000 (multiplicity 3)
Rh  0.0000  0.0000  0.1258 (multiplicity 6)
Rh  0.0000  0.0000  0.3760 (multiplicity 6)

---

Density functional theory data (PBE) for a geometry-optimized Tm2MgZn2Rh5 structure.

Properties
E_tot (eV/atom): -5.577
Size of the total moment (μB/f.u.): 0.00

a = 9.577 Å, b = 9.577 Å, c = 3.651 Å
α = 90.00°, β = 90.00°, γ = 90.00°
Space group P4/mbm (No. 127)
Asymmetric unit:
Tm  0.173  0.327  0.000 (multiplicity 4)
Mg  0.000  0.000  0.000 (multiplicity 2)
Zn  0.125  0.625  0.000 (multiplicity 4)
Rh  0.000  0.500  0.500 (multiplicity 2)
Rh  0.072  0.798  0.500 (multiplicity 8)